No. 1
A plane-wave DFT calculation with GGA-PBE was carried out for an optimized crystal structure of Ta2Cr.

Cell lengths 11.897, 11.897, 11.897 Å; angles 165.70, 165.70, 20.28 degrees
Sites, in units of the cell vectors:
Ta1 0.568 0.568 0.000
Ta2 0.182 0.682 0.500
Ta3 0.432 0.432 0.000
Ta4 0.318 0.818 0.500
Cr1 0.000 0.000 0.000
Cr2 0.750 0.250 0.500

***

No. 2
A plane-wave DFT calculation with GGA-PBE was carried out for an optimized crystal structure of TaCr.

Cell lengths 4.285, 13.570, 3.097 Å; angles 90.00, 90.00, 90.00 degrees
Sites, in units of the cell vectors:
Ta1 0.000 0.172 0.000
Ta2 0.000 0.828 0.000
Ta3 0.500 0.672 0.000
Ta4 0.500 0.328 0.000
Ta5 0.000 0.000 0.500
Ta6 0.500 0.500 0.500
Cr1 0.000 0.661 0.500
Cr2 0.000 0.339 0.500
Cr3 0.500 0.161 0.500
Cr4 0.500 0.839 0.500
Cr5 0.500 0.000 0.000
Cr6 0.000 0.500 0.000

***

No. 3
A plane-wave DFT calculation with GGA-PBE was carried out for an optimized crystal structure of Ta2Cr.

Cell lengths 4.235, 4.235, 3.025 Å; angles 90.00, 90.00, 90.00 degrees
Sites, in units of the cell vectors:
Cr1 0.000 0.000 0.000
Ta1 0.000 0.500 0.500
Ta2 0.500 0.000 0.500

***

| no. | DFT total energy (eV/atom) | total moment (μB/atom) |
| --- | --- | --- |
| 1 | -10.6375 | 0.000 |
| 2 | -10.6781 | 0.000 |
| 3 | -10.5186 | 0.000 |